Below is a relaxed structure of DyCdSe2, with properties calculated at the PBE level.

It has space group R-3m (No. 166, hexagonal axes), with a = 4.1295 Å, b = 4.1295 Å, c = 25.7493 Å, α = 90.00°, β = 90.00° and γ = 120.00°. The distinct sites, in fractional coordinates, are Dy at (0.0000, 0.0000, 0.0000), Cd at (0.0000, 0.0000, 0.5000) and Se at (0.0000, 0.0000, 0.3947).

The magnetization comes out at 0.00 μB/f.u. The uncorrected formation energy comes out at -1.090 eV/atom. As for the electronic total energy: -4.211 eV per atom.